(1)
YSi3B | PBE | relaxed

Output
Excess energy over the best structure of this formula in the dataset in meV/atom: 1708
Space group: Pm-3m (221)

Cell: 5.303 5.303 5.303 Å, 90.00 90.00 90.00°
Sites, in units of the cell vectors:
1 Y 0.000 0.000 0.000
2 Si 0.000 0.000 0.500
3 Si 0.000 0.500 0.000
4 Si 0.500 0.000 0.000
5 B 0.500 0.500 0.500

***

(2)
Y2Si3B | PBE | relaxed

Output
Space group: Fmmm (69)

Cell: 7.736 7.573 5.628 Å, 69.99 66.89 43.12°
Sites, in units of the cell vectors:
1 Y 0.244 0.756 0.244
2 Y 0.250 0.250 0.250
3 Y 0.750 0.750 0.750
4 Y 0.756 0.244 0.756
5 Si 0.177 0.177 0.823
6 Si 0.180 0.642 0.820
7 Si 0.358 0.820 0.642
8 Si 0.642 0.180 0.358
9 Si 0.820 0.358 0.180
10 Si 0.823 0.823 0.177
11 B 0.333 0.333 0.667
12 B 0.667 0.667 0.333

***

(3)
YSiB | PBE | relaxed

Output
Excess energy over the best structure of this formula in the dataset in meV/atom: 116
Space group: Imma (74)

Cell: 6.801 6.801 6.801 Å, 149.57 145.42 46.72°
Sites, in units of the cell vectors:
1 Y 0.386 0.136 0.250
2 Y 0.614 0.864 0.750
3 Si 0.199 0.449 0.750
4 Si 0.801 0.551 0.250
5 B 0.033 0.283 0.750
6 B 0.967 0.717 0.250

***

Number 1: formation energy without anion corrections 10.10 eV/f.u., N(E_F) 0.531 states/eV/atom, M_tot 0.00 Bohr magnetons per cell. Number 2: formation energy without anion corrections -3.23 eV/f.u., N(E_F) 0.531 states/eV/atom, M_tot 0.00 Bohr magnetons per cell. Number 3: formation energy without anion corrections -1.64 eV/f.u., N(E_F) 0.126 states/eV/atom, M_tot 0.00 Bohr magnetons per cell.